No. 1
An optimized crystal structure of RbSi3Tc. Source: the Alexandria database, functional PBE-GGA.

a = 4.7724 Å, b = 4.7724 Å, c = 4.7724 Å
α = 90.00°, β = 90.00°, γ = 90.00°
With the nearest neighbours (Å) after each atom.
Sites, in units of the cell vectors:
Rb 0.0000 0.0000 0.0000  12 Si 3.37
Si 0.0000 0.5000 0.5000  2 Tc 2.39
Si 0.5000 0.0000 0.5000  2 Tc 2.39
Si 0.5000 0.5000 0.0000  2 Tc 2.39
Tc 0.5000 0.5000 0.5000  6 Si 2.39

Computed properties:
The value obtained for the polymorph energy (0 for the lowest one) is 0.000 eV per atom. Its calculated total energy is -5.243 eV per atom. The symmetry is No. 221. For the uncorrected formation energy, the calculation gives 0.277 eV per atom.


No. 2
An optimized crystal structure of RbSiTc3. Source: the Alexandria database, functional PBE-GGA.

a = 4.6925 Å, b = 4.6925 Å, c = 4.6925 Å
α = 90.00°, β = 90.00°, γ = 90.00°
With the nearest neighbours (Å) after each atom.
Sites, in units of the cell vectors:
Rb 0.0000 0.0000 0.0000  12 Tc 3.32
Si 0.5000 0.5000 0.5000  6 Tc 2.35
Tc 0.0000 0.5000 0.5000  2 Si 2.35
Tc 0.5000 0.0000 0.5000  2 Si 2.35
Tc 0.5000 0.5000 0.0000  2 Si 2.35

Computed properties:
The value obtained for the polymorph energy (0 for the lowest one) is 0.000 eV per atom. Its calculated total energy is -6.120 eV per atom. The symmetry is No. 221. For the uncorrected formation energy, the calculation gives 1.378 eV per atom.


No. 3
An optimized crystal structure of RbSi3Tc. Source: the Alexandria database, functional PBE-GGA.

a = 4.9819 Å, b = 4.9819 Å, c = 4.9819 Å
α = 90.00°, β = 90.00°, γ = 90.00°
With the nearest neighbours (Å) after each atom.
Sites, in units of the cell vectors:
Rb 0.0000 0.0000 0.0000  6 Si 2.49
Si 0.0000 0.0000 0.5000  2 Rb 2.49
Si 0.0000 0.5000 0.0000  2 Rb 2.49
Si 0.5000 0.0000 0.0000  2 Rb 2.49
Tc 0.5000 0.5000 0.5000  12 Si 3.52

Computed properties:
The value obtained for the polymorph energy (0 for the lowest one) is 2.766 eV per atom. Its calculated total energy is -2.478 eV per atom. The symmetry is No. 221. For the uncorrected formation energy, the calculation gives 3.043 eV per atom.


No. 4
An optimized crystal structure of RbSiTe3. Source: the Alexandria database, functional PBE-GGA.

a = 7.3870 Å, b = 7.3870 Å, c = 7.3870 Å
α = 81.24°, β = 81.24°, γ = 81.24°
With the nearest neighbours (Å) after each atom.
Sites, in units of the cell vectors:
Rb 0.0000 0.0000 0.0000  2 Si 3.65-3.66, 6 Te 3.85-3.86
Rb 0.5000 0.5000 0.5000  2 Si 3.65-3.66, 6 Te 3.85-3.86
Si 0.2495 0.2495 0.2495  3 Te 2.43
Si 0.7495 0.7495 0.7495  3 Te 2.43
Te 0.0016 0.4967 0.7466  1 Si 2.43
Te 0.2466 0.9967 0.5016  1 Si 2.43
Te 0.4967 0.7466 0.0016  1 Si 2.43
Te 0.5016 0.2466 0.9967  1 Si 2.43
Te 0.7466 0.0016 0.4967  1 Si 2.43
Te 0.9967 0.5016 0.2466  1 Si 2.43

Computed properties:
Its calculated total energy is -3.373 eV per atom. The symmetry is No. 161. For the uncorrected formation energy, the calculation gives -0.210 eV per atom.


No. 5
An optimized crystal structure of Rb7SiTe6. Source: the Alexandria database, functional PBE-GGA.

a = 13.3623 Å, b = 13.3623 Å, c = 13.3623 Å
α = 139.14°, β = 112.40°, γ = 82.11°
With the nearest neighbours (Å) after each atom.
Sites, in units of the cell vectors:
Rb 0.0580 0.2402 0.2982  3 Te 3.56-3.73
Rb 0.0590 0.5326 0.8575  4 Te 3.58-3.87
Rb 0.1751 0.0326 0.4736  4 Te 3.58-3.87
Rb 0.2500 0.2500 0.0000  4 Te 3.67
Rb 0.3249 0.7985 0.8575  4 Te 3.58-3.87
Rb 0.4410 0.2985 0.4736  4 Te 3.58-3.87
Rb 0.4420 0.7402 0.1823  3 Te 3.56-3.73
Rb 0.5580 0.2598 0.8177  3 Te 3.56-3.73
Rb 0.5590 0.7015 0.5264  4 Te 3.58-3.87
Rb 0.6751 0.2015 0.1425  4 Te 3.58-3.87
Rb 0.7500 0.7500 0.0000  4 Te 3.67
Rb 0.8249 0.9674 0.5264  4 Te 3.58-3.87
Rb 0.9410 0.4674 0.1425  4 Te 3.58-3.87
Rb 0.9420 0.7598 0.7018  3 Te 3.56-3.73
Si 0.2500 0.7500 0.5000  4 Te 2.54
Si 0.7500 0.2500 0.5000  4 Te 2.54
Te 0.0865 0.8483 0.5775  1 Si 2.54
Te 0.1949 0.9265 0.1215  5 Rb 3.56-3.87
Te 0.2292 0.6517 0.2382  1 Si 2.54
Te 0.2708 0.5090 0.4225  1 Si 2.54
Te 0.3051 0.4265 0.7316  5 Rb 3.56-3.87
Te 0.4135 0.9910 0.7618  1 Si 2.54
Te 0.5865 0.0090 0.2382  1 Si 2.54
Te 0.6949 0.5735 0.2684  5 Rb 3.56-3.87
Te 0.7292 0.4910 0.5775  1 Si 2.54
Te 0.7708 0.3483 0.7618  1 Si 2.54
Te 0.8051 0.0735 0.8785  5 Rb 3.56-3.87
Te 0.9135 0.1517 0.4225  1 Si 2.54

Computed properties:
Its calculated total energy is -3.006 eV per atom. The symmetry is No. 72. For the uncorrected formation energy, the calculation gives -0.788 eV per atom.


No. 6
An optimized crystal structure of RbSi3Te. Source: the Alexandria database, functional PBE-GGA.

a = 5.5563 Å, b = 5.5563 Å, c = 5.5563 Å
α = 90.00°, β = 90.00°, γ = 90.00°
With the nearest neighbours (Å) after each atom.
Sites, in units of the cell vectors:
Rb 0.0000 0.0000 0.0000  6 Si 2.78
Si 0.0000 0.0000 0.5000  2 Rb 2.78
Si 0.0000 0.5000 0.0000  2 Rb 2.78
Si 0.5000 0.0000 0.0000  2 Rb 2.78
Te 0.5000 0.5000 0.5000  12 Si 3.93

Computed properties:
The value obtained for the polymorph energy (0 for the lowest one) is 1.179 eV per atom. Its calculated total energy is -1.901 eV per atom. The symmetry is No. 221. For the uncorrected formation energy, the calculation gives 2.174 eV per atom.


No. 7
An optimized crystal structure of RbSiTe3. Source: the Alexandria database, functional PBE-GGA.

a = 6.4686 Å, b = 6.4686 Å, c = 6.4686 Å
α = 90.00°, β = 90.00°, γ = 90.00°
With the nearest neighbours (Å) after each atom.
Sites, in units of the cell vectors:
Rb 0.0000 0.0000 0.0000  6 Te 3.23
Si 0.5000 0.5000 0.5000  12 Te 4.57
Te 0.0000 0.0000 0.5000  2 Rb 3.23
Te 0.0000 0.5000 0.0000  2 Rb 3.23
Te 0.5000 0.0000 0.0000  2 Rb 3.23

Computed properties:
Its calculated total energy is -1.774 eV per atom. The symmetry is No. 221. For the uncorrected formation energy, the calculation gives 1.389 eV per atom.


No. 8
An optimized crystal structure of RbSiTe3. Source: the Alexandria database, functional PBE-GGA.

a = 5.4889 Å, b = 5.4889 Å, c = 5.4889 Å
α = 90.00°, β = 90.00°, γ = 90.00°
With the nearest neighbours (Å) after each atom.
Sites, in units of the cell vectors:
Rb 0.0000 0.0000 0.0000  12 Te 3.88
Si 0.5000 0.5000 0.5000  6 Te 2.74
Te 0.0000 0.5000 0.5000  2 Si 2.74
Te 0.5000 0.0000 0.5000  2 Si 2.74
Te 0.5000 0.5000 0.0000  2 Si 2.74

Computed properties:
Its calculated total energy is -3.264 eV per atom. The symmetry is No. 221. For the uncorrected formation energy, the calculation gives -0.101 eV per atom.


No. 9
An optimized crystal structure of Rb3SiTe. Source: the Alexandria database, functional PBE-GGA.

a = 6.9514 Å, b = 6.9514 Å, c = 6.9514 Å
α = 90.00°, β = 90.00°, γ = 90.00°
With the nearest neighbours (Å) after each atom.
Sites, in units of the cell vectors:
Rb 0.0000 0.0000 0.5000  2 Te 3.48
Rb 0.0000 0.5000 0.0000  2 Te 3.48
Rb 0.5000 0.0000 0.0000  2 Te 3.48
Si 0.5000 0.5000 0.5000  12 Rb 4.92
Te 0.0000 0.0000 0.0000  6 Rb 3.48

Computed properties:
The value obtained for the polymorph energy (0 for the lowest one) is 0.000 eV per atom. Its calculated total energy is -2.318 eV per atom. The symmetry is No. 221. For the uncorrected formation energy, the calculation gives -0.024 eV per atom.


No. 10
An optimized crystal structure of Rb2SiTe. Source: the Alexandria database, functional PBE-GGA.

a = 8.6202 Å, b = 8.6202 Å, c = 8.6202 Å
α = 90.00°, β = 90.00°, γ = 90.00°
With the nearest neighbours (Å) after each atom.
Sites, in units of the cell vectors:
Rb 0.2500 0.2500 0.2500  4 Te 3.73, 4 Si 3.73
Rb 0.2500 0.2500 0.7500  4 Te 3.73, 4 Si 3.73
Rb 0.2500 0.7500 0.2500  4 Te 3.73, 4 Si 3.73
Rb 0.2500 0.7500 0.7500  4 Te 3.73, 4 Si 3.73
Rb 0.7500 0.2500 0.2500  4 Te 3.73, 4 Si 3.73
Rb 0.7500 0.2500 0.7500  4 Te 3.73, 4 Si 3.73
Rb 0.7500 0.7500 0.2500  4 Te 3.73, 4 Si 3.73
Rb 0.7500 0.7500 0.7500  4 Te 3.73, 4 Si 3.73
Si 0.0000 0.0000 0.0000  8 Rb 3.73
Si 0.0000 0.5000 0.5000  8 Rb 3.73
Si 0.5000 0.0000 0.5000  8 Rb 3.73
Si 0.5000 0.5000 0.0000  8 Rb 3.73
Te 0.0000 0.0000 0.5000  8 Rb 3.73
Te 0.0000 0.5000 0.0000  8 Rb 3.73
Te 0.5000 0.0000 0.0000  8 Rb 3.73
Te 0.5000 0.5000 0.5000  8 Rb 3.73

Computed properties:
The value obtained for the polymorph energy (0 for the lowest one) is 0.020 eV per atom. Its calculated total energy is -2.518 eV per atom. The symmetry is No. 225. For the uncorrected formation energy, the calculation gives 0.107 eV per atom.


No. 11
An optimized crystal structure of RbSi3Te. Source: the Alexandria database, functional PBE-GGA.

a = 5.4732 Å, b = 5.4732 Å, c = 5.4732 Å
α = 90.00°, β = 90.00°, γ = 90.00°
With the nearest neighbours (Å) after each atom.
Sites, in units of the cell vectors:
Rb 0.0000 0.0000 0.0000  12 Si 3.87
Si 0.0000 0.5000 0.5000  2 Te 2.74
Si 0.5000 0.0000 0.5000  2 Te 2.74
Si 0.5000 0.5000 0.0000  2 Te 2.74
Te 0.5000 0.5000 0.5000  6 Si 2.74

Computed properties:
The value obtained for the polymorph energy (0 for the lowest one) is 0.000 eV per atom. Its calculated total energy is -3.080 eV per atom. The symmetry is No. 221. For the uncorrected formation energy, the calculation gives 0.995 eV per atom.


No. 12
An optimized crystal structure of Rb3SiTe4. Source: the Alexandria database, functional PBE-GGA.

a = 10.2112 Å, b = 12.0868 Å, c = 11.1010 Å
α = 90.00°, β = 90.00°, γ = 90.00°
With the nearest neighbours (Å) after each atom.
Sites, in units of the cell vectors:
Rb 0.0395 0.0459 0.1919  7 Te 3.61-4.01
Rb 0.0395 0.4541 0.1919  7 Te 3.61-4.01
Rb 0.1562 0.7500 0.4103  7 Te 3.67-4.09
Rb 0.3438 0.2500 0.9103  7 Te 3.67-4.09
Rb 0.4605 0.5459 0.6919  7 Te 3.61-4.01
Rb 0.4605 0.9541 0.6919  7 Te 3.61-4.01
Rb 0.5395 0.0459 0.3081  7 Te 3.61-4.01
Rb 0.5395 0.4541 0.3081  7 Te 3.61-4.01
Rb 0.6562 0.7500 0.0897  7 Te 3.67-4.09
Rb 0.8438 0.2500 0.5897  7 Te 3.67-4.09
Rb 0.9605 0.5459 0.8081  7 Te 3.61-4.01
Rb 0.9605 0.9541 0.8081  7 Te 3.61-4.01
Si 0.2477 0.7500 0.9602  4 Te 2.50-2.57
Si 0.2523 0.2500 0.4602  4 Te 2.50-2.57
Si 0.7477 0.7500 0.5398  4 Te 2.50-2.57
Si 0.7523 0.2500 0.0398  4 Te 2.50-2.57
Te 0.0382 0.7500 0.0839  1 Si 2.54
Te 0.1454 0.0693 0.5325  1 Si 2.57
Te 0.1454 0.4307 0.5325  1 Si 2.57
Te 0.2076 0.7500 0.7378  1 Si 2.50
Te 0.2924 0.2500 0.2378  1 Si 2.50
Te 0.3546 0.5693 0.0325  1 Si 2.57
Te 0.3546 0.9307 0.0325  1 Si 2.57
Te 0.4618 0.2500 0.5839  1 Si 2.54
Te 0.5382 0.7500 0.4161  1 Si 2.54
Te 0.6454 0.0693 0.9675  1 Si 2.57
Te 0.6454 0.4307 0.9675  1 Si 2.57
Te 0.7076 0.7500 0.7622  1 Si 2.50
Te 0.7924 0.2500 0.2622  1 Si 2.50
Te 0.8546 0.5693 0.4675  1 Si 2.57
Te 0.8546 0.9307 0.4675  1 Si 2.57
Te 0.9618 0.2500 0.9161  1 Si 2.54

Computed properties:
Its calculated total energy is -3.284 eV per atom. The symmetry is No. 62. For the uncorrected formation energy, the calculation gives -0.673 eV per atom.